# 1
## Rb2NdZn2O4 (PBE-GGA)

Data for a relaxed Rb2NdZn2O4 crystal.

a b c (Å): 7.474 7.474 6.942
angles (deg): 106.65 106.65 27.16
Fractional coordinates of all 9 atoms:
Rb1 0.131 0.131 0.062
Rb2 0.869 0.869 0.938
Nd1 0.000 0.000 0.500
Zn1 0.317 0.317 0.467
Zn2 0.683 0.683 0.533
O1 0.174 0.174 0.686
O2 0.450 0.450 0.680
O3 0.550 0.550 0.320
O4 0.826 0.826 0.314

Calculated values
As for the space group: No. 12. Its energy relative to the elements, uncorrected is -1.65 eV per atom.

# 2
## Ba2PmGaS5 (PBE-GGA)

Data for a relaxed Ba2PmGaS5 crystal.

a b c (Å): 9.436 9.436 13.134
angles (deg): 90.00 90.00 154.83
Fractional coordinates of all 18 atoms:
Ba1 0.119 0.881 0.500
Ba2 0.127 0.873 0.146
Ba3 0.873 0.127 0.646
Ba4 0.881 0.119 0.000
Pm1 0.202 0.798 0.845
Pm2 0.798 0.202 0.345
Ga1 0.444 0.556 0.239
Ga2 0.556 0.444 0.739
S1 0.040 0.960 0.834
S2 0.297 0.703 0.486
S3 0.321 0.679 0.193
S4 0.348 0.652 0.825
S5 0.498 0.502 0.589
S6 0.502 0.498 0.089
S7 0.652 0.348 0.325
S8 0.679 0.321 0.693
S9 0.703 0.297 0.986
S10 0.960 0.040 0.334

Calculated values
As for the space group: No. 36. Its energy relative to the elements, uncorrected is -1.73 eV per atom.

# 3
## Sc2ZnCu2Rh5 (PBE-GGA)

Data for a relaxed Sc2ZnCu2Rh5 crystal.

a b c (Å): 8.939 8.939 3.846
angles (deg): 90.00 90.00 90.00
Fractional coordinates of all 20 atoms:
Sc1 0.171 0.329 0.000
Sc2 0.329 0.829 0.000
Sc3 0.671 0.171 0.000
Sc4 0.829 0.671 0.000
Zn1 0.000 0.000 0.000
Zn2 0.500 0.500 0.000
Cu1 0.126 0.626 0.000
Cu2 0.374 0.126 0.000
Cu3 0.626 0.874 0.000
Cu4 0.874 0.374 0.000
Rh1 0.000 0.500 0.500
Rh2 0.079 0.802 0.500
Rh3 0.198 0.079 0.500
Rh4 0.302 0.579 0.500
Rh5 0.421 0.302 0.500
Rh6 0.500 0.000 0.500
Rh7 0.579 0.698 0.500
Rh8 0.698 0.421 0.500
Rh9 0.802 0.921 0.500
Rh10 0.921 0.198 0.500

Calculated values
As for the formation energy: -0.395 eV/atom. As for the space group: No. 127.